(1)
{"formula": "CsRb2Au", "functional": "PBE", "state": "relaxed", "ef_ev_per_atom": -0.123, "magmom_total_mub_per_fu": 0.00, "total_energy_ev_per_atom": -1.639, "polymorph_energy_ev_per_atom": 0.038, "space_group": "No. 122", "lattice": [[12.196, 0.000, 0.000], [0.000, 12.196, 0.000], [6.098, 6.098, 3.661]], "species": ["Au", "Cs", "Cs", "Au", "Rb", "Rb", "Rb", "Rb"], "fractional_positions": [[0.750, 0.250, 0.500], [0.250, 0.750, 0.500], [0.500, 0.500, 0.000], [0.000, 0.000, 0.000], [0.375, 0.252, 0.750], [0.748, 0.125, 0.250], [0.002, 0.625, 0.250], [0.875, 0.998, 0.750]]}

(2)
{"formula": "SrMg3I", "functional": "PBE", "state": "relaxed", "magmom_total_mub_per_fu": 0.00, "total_energy_ev_per_atom": -1.019, "polymorph_energy_ev_per_atom": 0.272, "space_group": "No. 221", "e_form_raw_ev_per_atom": 0.584, "lattice": [[-5.382, -2.626, -3.163], [0.490, -5.584, 3.801], [-4.081, 2.792, 4.628]], "species": ["Mg", "Mg", "Mg", "Sr", "I"], "fractional_positions": [[0.500, 0.000, 0.000], [0.000, 0.000, 0.500], [0.000, 0.500, 0.000], [0.000, 0.000, 0.000], [0.500, 0.500, 0.500]]}

(3)
{"formula": "SrLiCdPt", "functional": "PBE", "state": "relaxed", "ef_ev_per_atom": -0.424, "magmom_total_mub_per_fu": 0.00, "total_energy_ev_per_atom": -3.062, "polymorph_energy_ev_per_atom": 0.104, "space_group": "No. 216", "lattice": [[-2.051, -4.091, -2.021], [2.741, -4.144, -0.584], [-0.898, -4.015, 2.847]], "species": ["Cd", "Li", "Sr", "Pt"], "fractional_positions": [[0.500, 0.500, 0.500], [0.250, 0.250, 0.250], [0.000, 0.000, 0.000], [0.750, 0.750, 0.750]]}

(4)
{"formula": "Ce3U2Ru4", "functional": "PBE", "state": "relaxed", "ef_ev_per_atom": -0.283, "magmom_total_mub_per_fu": 2.92, "total_energy_ev_per_atom": -8.892, "space_group": "No. 12", "lattice": [[-3.463, -2.456, -0.161], [4.878, -3.171, -0.485], [-0.809, 0.572, 8.692]], "species": ["Ru", "Ru", "Ru", "Ru", "Ce", "U", "U", "Ce", "Ce"], "fractional_positions": [[0.932, 0.864, 0.344], [0.068, 0.136, 0.656], [0.288, 0.576, 0.905], [0.712, 0.424, 0.095], [0.000, 0.000, 0.000], [0.677, 0.354, 0.772], [0.323, 0.646, 0.228], [0.635, 0.271, 0.396], [0.365, 0.729, 0.604]]}

(5)
{"formula": "Li4In2Hg", "functional": "PBE", "state": "relaxed", "ef_ev_per_atom": -0.029, "magmom_total_mub_per_fu": 0.00, "total_energy_ev_per_atom": -1.948, "polymorph_energy_ev_per_atom": 0.126, "space_group": "No. 65", "lattice": [[-4.373, -2.225, -1.415], [0.840, -3.630, 3.110], [-3.853, 5.350, 3.497]], "species": ["In", "Hg", "Li", "Li", "Li", "In", "Li"], "fractional_positions": [[0.500, 0.197, 0.393], [0.000, 0.500, 0.000], [0.500, 0.402, 0.805], [0.000, 0.889, 0.778], [0.000, 0.111, 0.222], [0.500, 0.803, 0.607], [0.500, 0.598, 0.195]]}

(6)
{"formula": "Nd4GePtI2", "functional": "PBE", "state": "relaxed", "magmom_total_mub_per_fu": 0.00, "total_energy_ev_per_atom": -5.130, "space_group": "No. 10", "e_form_raw_ev_per_atom": -1.026, "lattice": [[-0.675, -1.808, -3.777], [-3.595, -5.948, 3.490], [-5.657, 5.570, -1.656]], "species": ["I", "Ge", "Nd", "Nd", "Pt", "Nd", "Nd", "I"], "fractional_positions": [[0.000, 0.500, 0.500], [0.000, 0.000, 0.000], [0.500, 0.765, 0.800], [0.500, 0.235, 0.200], [0.500, 0.500, 0.000], [0.000, 0.282, 0.812], [0.000, 0.718, 0.188], [0.500, 0.000, 0.500]]}